Record 1
Computed, not measured: Nd2DyMnN4 after structural relaxation at the PBE level of DFT.

Calculated values
raw formation energy = -946 meV/atom
energy = -128.3 eV per cell
total magnetization = 0.0 μB per cell

Lattice parameters (Å, degrees): 6.155 6.155 12.020 90.00 90.00 147.69
Element x y z (fractional)
Nd: 0.133 0.867 0.543
Nd: 0.133 0.867 0.957
Nd: 0.867 0.133 0.043
Nd: 0.867 0.133 0.457
Dy: 0.373 0.627 0.750
Dy: 0.627 0.373 0.250
Mn: 0.343 0.657 0.250
Mn: 0.657 0.343 0.750
N: 0.089 0.911 0.750
N: 0.228 0.772 0.141
N: 0.228 0.772 0.359
N: 0.500 0.500 0.000
N: 0.500 0.500 0.500
N: 0.772 0.228 0.641
N: 0.772 0.228 0.859
N: 0.911 0.089 0.250

Record 2
Computed, not measured: DyNp2MnN4 after structural relaxation at the PBE level of DFT.

Calculated values
raw formation energy = -1047 meV/atom
energy = -162.7 eV per cell
total magnetization = 5.9 μB per cell

Lattice parameters (Å, degrees): 5.905 5.905 11.277 90.00 90.00 147.28
Element x y z (fractional)
Dy: 0.107 0.893 0.750
Dy: 0.893 0.107 0.250
Np: 0.369 0.631 0.556
Np: 0.369 0.631 0.944
Np: 0.631 0.369 0.056
Np: 0.631 0.369 0.444
Mn: 0.158 0.842 0.250
Mn: 0.842 0.158 0.750
N: 0.000 0.000 0.000
N: 0.000 0.000 0.500
N: 0.274 0.726 0.119
N: 0.274 0.726 0.381
N: 0.448 0.552 0.750
N: 0.552 0.448 0.250
N: 0.726 0.274 0.619
N: 0.726 0.274 0.881

Record 3
Computed, not measured: DyMn2PN after structural relaxation at the PBE level of DFT.

Calculated values
raw formation energy = -994 meV/atom
energy = -83.3 eV per cell
total magnetization = 2.8 μB per cell

Lattice parameters (Å, degrees): 5.521 5.521 6.771 90.00 90.00 141.93
Element x y z (fractional)
Dy: 0.043 0.957 0.750
Dy: 0.957 0.043 0.250
Mn: 0.330 0.670 0.557
Mn: 0.330 0.670 0.943
Mn: 0.670 0.330 0.057
Mn: 0.670 0.330 0.443
P: 0.232 0.768 0.250
P: 0.768 0.232 0.750
N: 0.500 0.500 0.000
N: 0.500 0.500 0.500

Record 4
Computed, not measured: DyPa2MnN5 after structural relaxation at the PBE level of DFT.

Calculated values
raw formation energy = -1267 meV/atom
energy = -171.6 eV per cell
total magnetization = 6.0 μB per cell

Lattice parameters (Å, degrees): 6.530 6.530 5.585 90.00 90.00 90.00
Element x y z (fractional)
Dy: 0.000 0.000 0.000
Dy: 0.500 0.500 0.000
Pa: 0.171 0.329 0.500
Pa: 0.329 0.829 0.500
Pa: 0.671 0.171 0.500
Pa: 0.829 0.671 0.500
Mn: 0.000 0.500 0.000
Mn: 0.500 0.000 0.000
N: 0.000 0.000 0.500
N: 0.149 0.649 0.237
N: 0.149 0.649 0.763
N: 0.351 0.149 0.237
N: 0.351 0.149 0.763
N: 0.500 0.500 0.500
N: 0.649 0.851 0.237
N: 0.649 0.851 0.763
N: 0.851 0.351 0.237
N: 0.851 0.351 0.763

Record 5
Computed, not measured: DyPa2MnN4 after structural relaxation at the PBE level of DFT.

Calculated values
raw formation energy = -1207 meV/atom
energy = -151.4 eV per cell
total magnetization = 7.4 μB per cell

Lattice parameters (Å, degrees): 6.861 6.861 6.861 120.48 118.64 90.77
Element x y z (fractional)
Dy: 0.500 0.000 0.000
Dy: 0.500 0.500 0.500
Pa: 0.000 0.000 0.000
Pa: 0.000 0.000 0.500
Pa: 0.000 0.500 0.000
Pa: 0.500 0.000 0.500
Mn: 0.000 0.500 0.500
Mn: 0.500 0.500 0.000
N: 0.241 0.247 0.993
N: 0.245 0.232 0.487
N: 0.245 0.759 0.013
N: 0.246 0.753 0.493
N: 0.754 0.247 0.507
N: 0.755 0.241 0.987
N: 0.755 0.768 0.513
N: 0.759 0.753 0.007

Record 6
Computed, not measured: DyPu2MnN4 after structural relaxation at the PBE level of DFT.

Calculated values
raw formation energy = -1059 meV/atom
energy = -168.4 eV per cell
total magnetization = 12.3 μB per cell

Lattice parameters (Å, degrees): 5.914 5.914 11.462 90.00 90.00 147.54
Element x y z (fractional)
Dy: 0.108 0.892 0.750
Dy: 0.892 0.108 0.250
Pu: 0.368 0.632 0.552
Pu: 0.368 0.632 0.948
Pu: 0.632 0.368 0.052
Pu: 0.632 0.368 0.448
Mn: 0.155 0.845 0.250
Mn: 0.845 0.155 0.750
N: 0.000 0.000 0.000
N: 0.000 0.000 0.500
N: 0.271 0.729 0.124
N: 0.271 0.729 0.376
N: 0.449 0.551 0.750
N: 0.551 0.449 0.250
N: 0.729 0.271 0.624
N: 0.729 0.271 0.876

Record 7
Computed, not measured: DyMn2SiN after structural relaxation at the PBE level of DFT.

Calculated values
raw formation energy = -829 meV/atom
energy = -81.7 eV per cell
total magnetization = 4.8 μB per cell

Lattice parameters (Å, degrees): 5.604 5.604 6.992 90.00 90.00 142.56
Element x y z (fractional)
Dy: 0.043 0.957 0.750
Dy: 0.957 0.043 0.250
Mn: 0.333 0.667 0.556
Mn: 0.333 0.667 0.944
Mn: 0.667 0.333 0.056
Mn: 0.667 0.333 0.444
Si: 0.234 0.766 0.250
Si: 0.766 0.234 0.750
N: 0.500 0.500 0.000
N: 0.500 0.500 0.500

Record 8
Computed, not measured: Tb2DyMnN4 after structural relaxation at the PBE level of DFT.

Calculated values
raw formation energy = -1150 meV/atom
energy = -131.1 eV per cell
total magnetization = 0.0 μB per cell

Lattice parameters (Å, degrees): 5.941 5.941 11.571 90.00 90.00 147.10
Element x y z (fractional)
Tb: 0.132 0.868 0.544
Tb: 0.132 0.868 0.956
Tb: 0.868 0.132 0.044
Tb: 0.868 0.132 0.456
Dy: 0.380 0.620 0.750
Dy: 0.620 0.380 0.250
Mn: 0.349 0.651 0.250
Mn: 0.651 0.349 0.750
N: 0.075 0.925 0.750
N: 0.232 0.768 0.135
N: 0.232 0.768 0.365
N: 0.500 0.500 0.000
N: 0.500 0.500 0.500
N: 0.768 0.232 0.635
N: 0.768 0.232 0.865
N: 0.925 0.075 0.250

Record 9
Computed, not measured: Dy2MnVN5 after structural relaxation at the PBE level of DFT.

Calculated values
raw formation energy = -1031 meV/atom
energy = -156.8 eV per cell
total magnetization = 6.0 μB per cell

Lattice parameters (Å, degrees): 6.908 6.908 9.765 90.00 90.00 152.96
Element x y z (fractional)
Dy: 0.116 0.884 0.500
Dy: 0.135 0.865 0.141
Dy: 0.865 0.135 0.641
Dy: 0.884 0.116 0.000
Mn: 0.213 0.787 0.856
Mn: 0.787 0.213 0.356
V: 0.439 0.561 0.275
V: 0.561 0.439 0.775
N: 0.050 0.950 0.868
N: 0.288 0.712 0.485
N: 0.311 0.689 0.215
N: 0.352 0.648 0.832
N: 0.500 0.500 0.116
N: 0.500 0.500 0.616
N: 0.648 0.352 0.332
N: 0.689 0.311 0.715
N: 0.712 0.288 0.985
N: 0.950 0.050 0.368

Record 10
Computed, not measured: Dy2YMnN4 after structural relaxation at the PBE level of DFT.

Calculated values
raw formation energy = -1174 meV/atom
energy = -135.1 eV per cell
total magnetization = 0.0 μB per cell

Lattice parameters (Å, degrees): 5.921 5.921 11.507 90.00 90.00 147.04
Element x y z (fractional)
Dy: 0.132 0.868 0.543
Dy: 0.132 0.868 0.957
Dy: 0.868 0.132 0.043
Dy: 0.868 0.132 0.457
Y: 0.381 0.619 0.750
Y: 0.619 0.381 0.250
Mn: 0.349 0.651 0.250
Mn: 0.651 0.349 0.750
N: 0.074 0.926 0.750
N: 0.233 0.767 0.133
N: 0.233 0.767 0.367
N: 0.500 0.500 0.000
N: 0.500 0.500 0.500
N: 0.767 0.233 0.633
N: 0.767 0.233 0.867
N: 0.926 0.074 0.250

> Number 9 is which compound?

Dy2MnVN5